1.
This record from Alexandria via LeMat-Bulk describes crystalline DyPaAs2Rh5 at its relaxed geometry. The functional is PBE.

Cell lengths 3.9862, 3.9862, 12.5687 Å; angles 90.00, 90.00, 90.00 degrees
Closest atoms and distances in Å follow each position.
Fractional coordinates of all 9 atoms:
Dy: 0.5000 0.5000 0.5000  12 Rh 2.82-2.90
Pa: 0.0000 0.0000 0.0000  2 As 2.81
As: 0.0000 0.0000 0.2236  4 Rh 2.42
As: 0.0000 0.0000 0.7764  4 Rh 2.42
Rh: 0.0000 0.0000 0.5000  4 Dy 2.82, 8 Rh 2.90
Rh: 0.0000 0.5000 0.6672  2 As 2.42
Rh: 0.5000 0.0000 0.3328  2 As 2.42
Rh: 0.0000 0.5000 0.3328  2 As 2.42
Rh: 0.5000 0.0000 0.6672  2 As 2.42

The magnetization comes out at 1.77 μB per formula unit. For the energy relative to the elements, the calculation gives -12.4 kJ/mol of atoms. Its calculated density is 8.8 Mg/m³.

2.
This record from Alexandria via LeMat-Bulk describes crystalline DyScPa2As4 at its relaxed geometry. The functional is PBE.

Cell lengths 4.0587, 6.9875, 7.0255 Å; angles 70.41, 90.00, 90.00 degrees
Closest atoms and distances in Å follow each position.
Fractional coordinates of all 8 atoms:
Dy: 0.0000 0.5000 0.5000  6 As 2.87
Sc: 0.5000 0.5000 0.0000  6 As 2.81
Pa: 0.0000 0.0000 0.0000  6 As 2.86
Pa: 0.5000 0.0000 0.5000  6 As 2.91
As: 0.0000 0.7415 0.7590  2 Sc 2.81, 3 Pa 2.86-2.91, 1 Dy 2.87
As: 0.0000 0.2585 0.2410  2 Sc 2.81, 3 Pa 2.86-2.91, 1 Dy 2.87
As: 0.5000 0.7457 0.2452  1 Sc 2.81, 3 Pa 2.86-2.91, 2 Dy 2.87
As: 0.5000 0.2543 0.7548  1 Sc 2.81, 3 Pa 2.86-2.91, 2 Dy 2.87

The magnetization comes out at 0.00 μB per formula unit. For the energy relative to the elements, the calculation gives -118.7 kJ/mol of atoms. Its calculated density is 8.6 Mg/m³.

3.
This record from Alexandria via LeMat-Bulk describes crystalline Sm2DyPaAs4 at its relaxed geometry. The functional is PBE.

Cell lengths 4.1599, 7.1763, 7.2047 Å; angles 109.44, 90.00, 90.00 degrees
Closest atoms and distances in Å follow each position.
Fractional coordinates of all 8 atoms:
Sm: 0.5000 0.0000 0.5000  6 As 2.98-2.99
Sm: 0.0000 0.5000 0.5000  6 As 2.96
Dy: 0.0000 0.0000 0.0000  6 As 2.91
Pa: 0.5000 0.5000 0.0000  6 As 2.88-2.90
As: 0.5000 0.2508 0.2408  1 Pa 2.88, 2 Dy 2.91, 3 Sm 2.96-2.99
As: 0.5000 0.7492 0.7592  1 Pa 2.88, 2 Dy 2.91, 3 Sm 2.96-2.99
As: 0.0000 0.2550 0.7592  2 Pa 2.90, 1 Dy 2.91, 3 Sm 2.96-2.98
As: 0.0000 0.7450 0.2408  2 Pa 2.90, 1 Dy 2.91, 3 Sm 2.96-2.98

The magnetization comes out at 0.00 μB per formula unit. For the energy relative to the elements, the calculation gives -137.0 kJ/mol of atoms. Its calculated density is 8.1 Mg/m³.

4.
This record from Alexandria via LeMat-Bulk describes crystalline Sm2DyPaAs5 at its relaxed geometry. The functional is PBE.

Cell lengths 5.0755, 5.0755, 10.8936 Å; angles 90.00, 90.00, 90.00 degrees
Closest atoms and distances in Å follow each position.
Fractional coordinates of all 9 atoms:
Sm: 0.5000 0.5000 0.2705  1 As 2.95
Sm: 0.5000 0.5000 0.7295  1 As 2.95
Dy: 0.0000 0.0000 0.0000  2 As 2.68
Pa: 0.0000 0.0000 0.5000  6 As 2.54-2.76
As: 0.0000 0.5000 0.5000  2 Pa 2.54
As: 0.5000 0.0000 0.5000  2 Pa 2.54
As: 0.0000 0.0000 0.7537  1 Dy 2.68, 1 Pa 2.76
As: 0.0000 0.0000 0.2463  1 Dy 2.68, 1 Pa 2.76
As: 0.5000 0.5000 0.0000  2 Sm 2.95

The magnetization comes out at 0.00 μB per formula unit. For the energy relative to the elements, the calculation gives -54.4 kJ/mol of atoms. Its calculated density is 6.3 Mg/m³.

5.
This record from Alexandria via LeMat-Bulk describes crystalline SmDy2PaAs4 at its relaxed geometry. The functional is PBE.

Cell lengths 4.1374, 7.1600, 7.1336 Å; angles 109.48, 90.00, 90.00 degrees
Closest atoms and distances in Å follow each position.
Fractional coordinates of all 8 atoms:
Sm: 0.0000 0.0000 0.0000  6 As 2.94-2.95
Dy: 0.5000 0.0000 0.5000  6 As 2.94-2.95
Dy: 0.0000 0.5000 0.5000  6 As 2.89-2.90
Pa: 0.5000 0.5000 0.0000  6 As 2.88-2.91
As: 0.5000 0.2571 0.2513  1 Pa 2.88, 3 Dy 2.90-2.95, 2 Sm 2.95
As: 0.5000 0.7429 0.7487  1 Pa 2.88, 3 Dy 2.90-2.95, 2 Sm 2.95
As: 0.0000 0.2546 0.7503  3 Dy 2.89-2.94, 2 Pa 2.91, 1 Sm 2.94
As: 0.0000 0.7454 0.2497  3 Dy 2.89-2.94, 2 Pa 2.91, 1 Sm 2.94

The magnetization comes out at 0.18 μB per formula unit. For the energy relative to the elements, the calculation gives -136.5 kJ/mol of atoms. Its calculated density is 8.4 Mg/m³.

6.
This record from Alexandria via LeMat-Bulk describes crystalline Sr3DyPa3As8 at its relaxed geometry. The functional is PBE.

Cell lengths 8.4379, 8.4375, 8.6474 Å; angles 119.20, 90.00, 120.00 degrees
Closest atoms and distances in Å follow each position.
Fractional coordinates of all 15 atoms:
Sr: 0.0000 0.0000 0.0000  6 As 3.15-3.22
Sr: 0.0000 0.5000 0.0000  6 As 3.15-3.22
Sr: 0.5000 0.5000 0.0000  6 As 3.15-3.22
Dy: 0.0000 0.0000 0.5000  6 As 2.95
Pa: 0.5000 0.0000 0.5000  6 As 2.84-2.90
Pa: 0.5000 0.5000 0.5000  6 As 2.83-2.90
Pa: 0.0000 0.5000 0.5000  6 As 2.83-2.90
As: 0.2600 0.5200 0.2799  3 Pa 2.90, 3 Sr 3.15
As: 0.7400 0.4800 0.7201  3 Pa 2.90, 3 Sr 3.15
As: 0.7558 0.5116 0.2866  2 Pa 2.84, 1 Dy 2.95
As: 0.2442 0.4884 0.7134  2 Pa 2.84, 1 Dy 2.95
As: 0.7558 0.0308 0.2866  2 Pa 2.83-2.84, 1 Dy 2.95
As: 0.2442 0.9692 0.7134  2 Pa 2.83-2.84, 1 Dy 2.95
As: 0.2750 0.0308 0.2866  2 Pa 2.83-2.84, 1 Dy 2.95
As: 0.7250 0.9692 0.7134  2 Pa 2.83-2.84, 1 Dy 2.95

The magnetization comes out at 0.00 μB per formula unit. For the energy relative to the elements, the calculation gives -103.5 kJ/mol of atoms. Its calculated density is 6.5 Mg/m³.

7.
This record from Alexandria via LeMat-Bulk describes crystalline SrDy2PaAs4 at its relaxed geometry. The functional is PBE.

Cell lengths 5.9138, 5.9138, 7.2379 Å; angles 114.11, 114.11, 90.00 degrees
Closest atoms and distances in Å follow each position.
Fractional coordinates of all 8 atoms:
Sr: 0.5000 0.5000 0.0000  6 As 2.96-3.04
Dy: 0.2500 0.7500 0.5000  6 As 2.96-3.06
Dy: 0.0000 0.0000 0.0000  6 As 2.86-2.96
Pa: 0.7500 0.2500 0.5000  6 As 2.85-2.96
As: 0.9911 0.4911 0.9822  1 Pa 2.85, 3 Dy 2.96-3.06, 2 Sr 2.96
As: 0.5089 0.0089 0.0178  1 Pa 2.85, 2 Sr 2.96, 3 Dy 2.96-3.06
As: 0.7576 0.7576 0.5152  3 Dy 2.86-2.96, 2 Pa 2.96, 1 Sr 3.04
As: 0.2424 0.2424 0.4848  3 Dy 2.86-2.96, 2 Pa 2.96, 1 Sr 3.04

The magnetization comes out at 0.00 μB per formula unit. For the energy relative to the elements, the calculation gives -124.5 kJ/mol of atoms. Its calculated density is 7.6 Mg/m³.

8.
This record from Alexandria via LeMat-Bulk describes crystalline Sr3Dy2PaAs6 at its relaxed geometry. The functional is PBE.

Cell lengths 7.3836, 7.3836, 7.5472 Å; angles 99.39, 99.39, 120.04 degrees
Closest atoms and distances in Å follow each position.
Fractional coordinates of all 12 atoms:
Sr: 0.1690 0.8310 0.5000  6 As 3.15-3.19
Sr: 0.8310 0.1690 0.5000  6 As 3.15-3.19
Sr: 0.5000 0.5000 0.5000  6 As 3.15-3.21
Dy: 0.3335 0.6665 0.0000  6 As 2.94
Dy: 0.6665 0.3335 0.0000  6 As 2.94
Pa: 0.0000 0.0000 0.0000  6 As 2.87
As: 0.9269 0.6009 0.7803  1 Pa 2.87, 2 Dy 2.94, 3 Sr 3.15-3.19
As: 0.7478 0.7478 0.2202  1 Pa 2.87, 2 Dy 2.94, 3 Sr 3.17-3.21
As: 0.0731 0.3991 0.2197  1 Pa 2.87, 2 Dy 2.94, 3 Sr 3.15-3.19
As: 0.6009 0.9269 0.7803  1 Pa 2.87, 2 Dy 2.94, 3 Sr 3.15-3.19
As: 0.2522 0.2522 0.7798  1 Pa 2.87, 2 Dy 2.94, 3 Sr 3.17-3.21
As: 0.3991 0.0731 0.2197  1 Pa 2.87, 2 Dy 2.94, 3 Sr 3.15-3.19

The magnetization comes out at 0.00 μB per formula unit. For the energy relative to the elements, the calculation gives -120.7 kJ/mol of atoms. Its calculated density is 6.3 Mg/m³.

9.
This record from Alexandria via LeMat-Bulk describes crystalline TbDy2PaAs4 at its relaxed geometry. The functional is PBE.

Cell lengths 4.1192, 7.1176, 7.1111 Å; angles 109.48, 90.00, 90.00 degrees
Closest atoms and distances in Å follow each position.
Fractional coordinates of all 8 atoms:
Tb: 0.0000 0.0000 0.0000  6 As 2.91
Dy: 0.5000 0.0000 0.5000  6 As 2.92-2.93
Dy: 0.0000 0.5000 0.5000  6 As 2.90
Pa: 0.5000 0.5000 0.0000  6 As 2.87-2.90
As: 0.5000 0.2534 0.2483  1 Pa 2.87, 3 Dy 2.90-2.93, 2 Tb 2.91
As: 0.5000 0.7466 0.7517  1 Pa 2.87, 3 Dy 2.90-2.93, 2 Tb 2.91
As: 0.0000 0.2526 0.7516  2 Pa 2.90, 3 Dy 2.90-2.92, 1 Tb 2.91
As: 0.0000 0.7474 0.2484  2 Pa 2.90, 3 Dy 2.90-2.92, 1 Tb 2.91

The magnetization comes out at 0.02 μB per formula unit. For the energy relative to the elements, the calculation gives -137.0 kJ/mol of atoms. Its calculated density is 8.6 Mg/m³.

10.
This record from Alexandria via LeMat-Bulk describes crystalline DyPaTeAs at its relaxed geometry. The functional is PBE.

Cell lengths 4.0724, 4.0723, 7.8676 Å; angles 90.00, 104.99, 119.99 degrees
Closest atoms and distances in Å follow each position.
Fractional coordinates of all 4 atoms:
Dy: 0.4920 0.1439 0.6511  3 As 2.85, 3 Te 3.17
Pa: 0.1147 0.9553 0.0853  3 As 2.87, 3 Te 3.16
Te: 0.9692 0.3826 0.3670  3 Pa 3.16, 3 Dy 3.17
As: 0.3021 0.5490 0.8663  3 Dy 2.85, 3 Pa 2.87

The magnetization comes out at 0.99 μB per formula unit. Its calculated density is 9.2 Mg/m³. The calculation puts the uncorrected formation energy at -107.5 kJ per mole of atoms.

11.
This record from Alexandria via LeMat-Bulk describes crystalline Dy2ThPaAs4 at its relaxed geometry. The functional is PBE.

Cell lengths 4.1528, 7.1540, 7.1916 Å; angles 70.45, 90.00, 90.00 degrees
Closest atoms and distances in Å follow each position.
Fractional coordinates of all 8 atoms:
Dy: 0.0000 0.0000 0.0000  6 As 2.94-2.95
Dy: 0.5000 0.0000 0.5000  6 As 2.89
Th: 0.5000 0.5000 0.0000  6 As 2.97
Pa: 0.0000 0.5000 0.5000  6 As 2.91-2.92
As: 0.0000 0.7543 0.7418  3 Dy 2.89-2.95, 1 Pa 2.91, 2 Th 2.97
As: 0.0000 0.2457 0.2582  3 Dy 2.89-2.95, 1 Pa 2.91, 2 Th 2.97
As: 0.5000 0.7514 0.2556  3 Dy 2.89-2.94, 2 Pa 2.92, 1 Th 2.97
As: 0.5000 0.2486 0.7444  3 Dy 2.89-2.94, 2 Pa 2.92, 1 Th 2.97

The magnetization comes out at 0.00 μB per formula unit. For the energy relative to the elements, the calculation gives -132.3 kJ/mol of atoms. Its calculated density is 9.0 Mg/m³.

12.
This record from Alexandria via LeMat-Bulk describes crystalline Dy3Th2PaAs6 at its relaxed geometry. The functional is PBE.

Cell lengths 4.1692, 8.2935, 9.2884 Å; angles 102.57, 102.97, 90.00 degrees
Closest atoms and distances in Å follow each position.
Fractional coordinates of all 12 atoms:
Dy: 0.5000 0.5000 0.0000  6 As 2.90-2.96
Dy: 0.8318 0.1663 0.6636  6 As 2.90-2.95
Dy: 0.1682 0.8337 0.3364  6 As 2.90-2.95
Th: 0.8334 0.6655 0.6667  6 As 2.97-2.99
Th: 0.1666 0.3345 0.3333  6 As 2.97-2.99
Pa: 0.5000 0.0000 0.0000  6 As 2.91-2.92
As: 0.3351 0.9234 0.6701  3 Dy 2.91-2.95, 1 Pa 2.91, 2 Th 2.98
As: 0.6645 0.5889 0.3290  3 Dy 2.90, 3 Th 2.97-2.98
As: 0.6649 0.0766 0.3299  3 Dy 2.91-2.95, 1 Pa 2.91, 2 Th 2.98
As: 0.9974 0.2452 0.9949  2 Pa 2.92, 3 Dy 2.92-2.96, 1 Th 2.99
As: 0.0026 0.7548 0.0051  2 Pa 2.92, 3 Dy 2.92-2.96, 1 Th 2.99
As: 0.3355 0.4111 0.6710  3 Dy 2.90, 3 Th 2.97-2.98

The magnetization comes out at 0.00 μB per formula unit. For the energy relative to the elements, the calculation gives -135.4 kJ/mol of atoms. Its calculated density is 8.9 Mg/m³.

What did the seventh record say?
This record from Alexandria via LeMat-Bulk describes crystalline SrDy2PaAs4 at its relaxed geometry. The functional is PBE.

Cell lengths 5.9138, 5.9138, 7.2379 Å; angles 114.11, 114.11, 90.00 degrees
Closest atoms and distances in Å follow each position.
Fractional coordinates of all 8 atoms:
Sr: 0.5000 0.5000 0.0000  6 As 2.96-3.04
Dy: 0.2500 0.7500 0.5000  6 As 2.96-3.06
Dy: 0.0000 0.0000 0.0000  6 As 2.86-2.96
Pa: 0.7500 0.2500 0.5000  6 As 2.85-2.96
As: 0.9911 0.4911 0.9822  1 Pa 2.85, 3 Dy 2.96-3.06, 2 Sr 2.96
As: 0.5089 0.0089 0.0178  1 Pa 2.85, 2 Sr 2.96, 3 Dy 2.96-3.06
As: 0.7576 0.7576 0.5152  3 Dy 2.86-2.96, 2 Pa 2.96, 1 Sr 3.04
As: 0.2424 0.2424 0.4848  3 Dy 2.86-2.96, 2 Pa 2.96, 1 Sr 3.04

The magnetization comes out at 0.00 μB per formula unit. For the energy relative to the elements, the calculation gives -124.5 kJ/mol of atoms. Its calculated density is 7.6 Mg/m³.

Question: magnetization of number 12 (Dy3Th2PaAs6)?
Answer: 0.00 μB per formula unit